Computed, not measured: a relaxed ZrFePd3 crystal at the PBE level of DFT.

```
data_ZrFePd3
_chemical_formula_sum 'Zr1 Fe1 Pd3'
_space_group_name_H-M_alt 'P 1'
_space_group_IT_number 1
_space_group_name_Hall 'P 1'
_cell_length_a 4.8605
_cell_length_b 4.8605
_cell_length_c 4.8605
_cell_angle_alpha 90.00
_cell_angle_beta 90.00
_cell_angle_gamma 90.00
loop_
_atom_site_label
_atom_site_type_symbol
_atom_site_fract_x
_atom_site_fract_y
_atom_site_fract_z
Zr1 Zr 0.0000 0.0000 0.0000
Pd1 Pd 0.0000 0.5000 0.0000
Pd2 Pd 0.0000 0.0000 0.5000
Pd3 Pd 0.5000 0.0000 0.0000
Fe1 Fe 0.5000 0.5000 0.5000
```

Values from the calculation:
- Space group: No. 221
- ΔE_f: 1.00 eV/atom
- Magnetic moment: 3.11 μB per formula unit
- Raw total energy: -5.521 eV per atom
- Distance to the lowest polymorph of the same formula: 575 meV/atom

***

Computed, not measured: a relaxed Zr5FePd2 crystal at the PBE level of DFT.

```
data_Zr5FePd2
_chemical_formula_sum 'Zr10 Fe2 Pd4'
_space_group_name_H-M_alt 'P 1'
_space_group_IT_number 1
_space_group_name_Hall 'P 1'
_cell_length_a 4.1867
_cell_length_b 7.2156
_cell_length_c 10.5563
_cell_angle_alpha 90.00
_cell_angle_beta 90.00
_cell_angle_gamma 90.00
loop_
_atom_site_label
_atom_site_type_symbol
_atom_site_fract_x
_atom_site_fract_y
_atom_site_fract_z
Zr1 Zr 0.0000 0.0000 0.5000
Zr2 Zr 0.0000 0.5000 0.0000
Zr3 Zr 0.0000 0.8551 0.2062
Zr4 Zr 0.0000 0.1449 0.7938
Zr5 Zr 0.0000 0.6449 0.7062
Zr6 Zr 0.0000 0.3551 0.2938
Zr7 Zr 0.5000 0.6803 0.4224
Zr8 Zr 0.5000 0.3197 0.5776
Zr9 Zr 0.5000 0.8197 0.9224
Zr10 Zr 0.5000 0.1803 0.0776
Fe1 Fe 0.0000 0.5000 0.5000
Fe2 Fe 0.0000 0.0000 0.0000
Pd1 Pd 0.5000 0.5744 0.1647
Pd2 Pd 0.5000 0.4256 0.8353
Pd3 Pd 0.5000 0.9256 0.6647
Pd4 Pd 0.5000 0.0744 0.3353
```

Values from the calculation:
- Space group: No. 55
- ΔE_f: -0.34 eV/atom
- Magnetic moment: 0.00 μB per formula unit
- Raw total energy: -8.039 eV per atom

***

Computed, not measured: a relaxed ZrFePd3 crystal at the PBE level of DFT.

```
data_ZrFePd3
_chemical_formula_sum 'Zr1 Fe1 Pd3'
_space_group_name_H-M_alt 'P 1'
_space_group_IT_number 1
_space_group_name_Hall 'P 1'
_cell_length_a 4.5782
_cell_length_b 4.5782
_cell_length_c 4.5782
_cell_angle_alpha 90.00
_cell_angle_beta 90.00
_cell_angle_gamma 90.00
loop_
_atom_site_label
_atom_site_type_symbol
_atom_site_fract_x
_atom_site_fract_y
_atom_site_fract_z
Zr1 Zr 0.5000 0.5000 0.5000
Pd1 Pd 0.0000 0.5000 0.0000
Pd2 Pd 0.0000 0.0000 0.5000
Pd3 Pd 0.5000 0.0000 0.0000
Fe1 Fe 0.0000 0.0000 0.0000
```

Values from the calculation:
- Space group: No. 221
- ΔE_f: 0.42 eV/atom
- Magnetic moment: 2.86 μB per formula unit
- Raw total energy: -6.096 eV per atom
- Distance to the lowest polymorph of the same formula: 0 meV/atom

***

Computed, not measured: a relaxed Zr3Fe2Pd crystal at the PBE level of DFT.

```
data_Zr3Fe2Pd
_chemical_formula_sum 'Zr3 Fe2 Pd1'
_space_group_name_H-M_alt 'P 1'
_space_group_IT_number 1
_space_group_name_Hall 'P 1'
_cell_length_a 3.1905
_cell_length_b 3.1905
_cell_length_c 10.0550
_cell_angle_alpha 90.00
_cell_angle_beta 90.00
_cell_angle_gamma 90.00
loop_
_atom_site_label
_atom_site_type_symbol
_atom_site_fract_x
_atom_site_fract_y
_atom_site_fract_z
Zr1 Zr 0.0000 0.0000 0.0000
Zr2 Zr 0.0000 0.0000 0.6850
Zr3 Zr 0.0000 0.0000 0.3150
Fe1 Fe 0.5000 0.5000 0.8384
Fe2 Fe 0.5000 0.5000 0.1616
Pd1 Pd 0.5000 0.5000 0.5000
```

Values from the calculation:
- Space group: No. 123
- ΔE_f: -0.33 eV/atom
- Magnetic moment: 0.78 μB per formula unit
- Raw total energy: -8.289 eV per atom